one | # Al4ZnOs (GGA-PBE, optimized geometry)
# DOS at the Fermi energy in states/eV/atom: 0.164
# Magnetic moment in μB/f.u.: 0.0
data_Al4ZnOs
_cell_length_a 7.110
_cell_length_b 7.110
_cell_length_c 7.110
_cell_angle_alpha 90.00
_cell_angle_beta 90.00
_cell_angle_gamma 90.00
_symmetry_space_group_name_H-M 'F -4 3 m'
_symmetry_Int_Tables_number 216
_symmetry_space_group_name_Hall 'F -4 2 3'
loop_
_atom_site_label
_atom_site_fract_x
_atom_site_fract_y
_atom_site_fract_z
Al1 0.124 0.124 0.376
Zn1 0.000 0.000 0.000
Os1 0.250 0.250 0.750

two | # Al4ZnOs (GGA-PBE, optimized geometry)
# DOS at the Fermi energy in states/eV/atom: 0.412
# Magnetic moment in μB/f.u.: 0.0
data_Al4ZnOs
_cell_length_a 6.393
_cell_length_b 8.879
_cell_length_c 13.780
_cell_angle_alpha 90.00
_cell_angle_beta 90.00
_cell_angle_gamma 90.00
_symmetry_space_group_name_H-M 'F d d d'
_symmetry_Int_Tables_number 70
loop_
_symmetry_equiv_pos_as_xyz
'x,y,z'
'-x,-y,-z'
'-x+1/4,-y+1/4,z'
'x+1/4,y+1/4,-z'
'x,-y+1/4,-z+1/4'
'-x,y+1/4,z+1/4'
'-x+1/4,y,-z+1/4'
'x+1/4,-y,z+1/4'
'x,y+1/2,z+1/2'
'-x,-y+1/2,-z+1/2'
'-x+1/4,-y+3/4,z+1/2'
'x+1/4,y+3/4,-z+1/2'
'x,-y+3/4,-z+3/4'
'-x,y+3/4,z+3/4'
'-x+1/4,y+1/2,-z+3/4'
'x+1/4,-y+1/2,z+3/4'
'x+1/2,y,z+1/2'
'-x+1/2,-y,-z+1/2'
'-x+3/4,-y+1/4,z+1/2'
'x+3/4,y+1/4,-z+1/2'
'x+1/2,-y+1/4,-z+3/4'
'-x+1/2,y+1/4,z+3/4'
'-x+3/4,y,-z+3/4'
'x+3/4,-y,z+3/4'
'x+1/2,y+1/2,z'
'-x+1/2,-y+1/2,-z'
'-x+3/4,-y+3/4,z'
'x+3/4,y+3/4,-z'
'x+1/2,-y+3/4,-z+1/4'
'-x+1/2,y+3/4,z+1/4'
'-x+3/4,y+1/2,-z+1/4'
'x+3/4,-y+1/2,z+1/4'
loop_
_atom_site_label
_atom_site_fract_x
_atom_site_fract_y
_atom_site_fract_z
Al1 0.123 0.368 0.226
Zn1 0.125 0.125 0.625
Os1 0.125 0.125 0.125

Which structure is the most stable? The one labeled two.

one | # Zr2Al2Os (GGA-PBE, optimized geometry)
# DOS at the Fermi energy in states/eV/atom: 0.867
# Magnetic moment in μB/f.u.: 0.6
data_Zr2Al2Os
_cell_length_a 3.838
_cell_length_b 3.838
_cell_length_c 12.965
_cell_angle_alpha 90.00
_cell_angle_beta 90.00
_cell_angle_gamma 90.00
_symmetry_space_group_name_H-M 'I 4/m m m'
_symmetry_Int_Tables_number 139
_symmetry_space_group_name_Hall '-I 4 2'
loop_
_atom_site_label
_atom_site_fract_x
_atom_site_fract_y
_atom_site_fract_z
Zr1 0.000 0.500 0.250
Al1 0.000 0.000 0.090
Os1 0.000 0.000 0.500

two | # Zr2Al2Os (GGA-PBE, optimized geometry)
# DOS at the Fermi energy in states/eV/atom: 0.334
# Magnetic moment in μB/f.u.: 0.0
data_Zr2Al2Os
_cell_length_a 6.806
_cell_length_b 6.806
_cell_length_c 3.872
_cell_angle_alpha 90.00
_cell_angle_beta 90.00
_cell_angle_gamma 90.00
_symmetry_space_group_name_H-M 'P 4/m b m'
_symmetry_Int_Tables_number 127
_symmetry_space_group_name_Hall '-P 4 2ab'
loop_
_atom_site_label
_atom_site_fract_x
_atom_site_fract_y
_atom_site_fract_z
Zr1 0.171 0.329 0.000
Al1 0.133 0.633 0.500
Os1 0.000 0.000 0.500

Which structure is the most stable? The one labeled two.

one | # Al5P3 (GGA-PBE, optimized geometry)
# DOS at the Fermi energy in states/eV/atom: 0.171
# Magnetic moment in μB/f.u.: 0.0
data_Al5P3
_cell_length_a 5.685
_cell_length_b 13.744
_cell_length_c 7.445
_cell_angle_alpha 90.00
_cell_angle_beta 112.31
_cell_angle_gamma 90.00
_symmetry_space_group_name_H-M 'C 1 m 1'
_symmetry_Int_Tables_number 8
loop_
_symmetry_equiv_pos_as_xyz
'x,y,z'
'x,-y,z'
'x+1/2,y+1/2,z'
'x+1/2,-y+1/2,z'
loop_
_atom_site_label
_atom_site_fract_x
_atom_site_fract_y
_atom_site_fract_z
Al1 0.000 0.000 0.000
Al2 0.002 0.500 0.000
Al3 0.124 0.398 0.704
Al4 0.126 0.148 0.796
Al5 0.330 0.148 0.203
Al6 0.421 0.399 0.296
P1 0.080 0.313 0.999
P2 0.107 0.500 0.374
P3 0.232 0.000 0.625
P4 0.497 0.250 0.499

two | # Al5P3 (GGA-PBE, optimized geometry)
# DOS at the Fermi energy in states/eV/atom: 0.387
# Magnetic moment in μB/f.u.: 0.0
data_Al5P3
_cell_length_a 6.9229
_cell_length_b 6.9229
_cell_length_c 6.5708
_cell_angle_alpha 90.00
_cell_angle_beta 90.00
_cell_angle_gamma 120.00
_symmetry_space_group_name_H-M 'P 63/m c m'
_symmetry_Int_Tables_number 193
_symmetry_space_group_name_Hall '-P 6c 2'
loop_
_atom_site_label
_atom_site_fract_x
_atom_site_fract_y
_atom_site_fract_z
Al1 0.0000 0.2219 0.2500
Al2 0.3333 0.6667 0.0000
P1 0.0000 0.4256 0.7500

Which structure is the most stable? The one labeled one.

one | # Al3P (GGA-PBE, optimized geometry)
# DOS at the Fermi energy in states/eV/atom: 0.482
# Magnetic moment in μB/f.u.: 0.0
data_Al3P
_cell_length_a 2.8915
_cell_length_b 2.8915
_cell_length_c 26.2004
_cell_angle_alpha 90.00
_cell_angle_beta 90.00
_cell_angle_gamma 120.00
_symmetry_space_group_name_H-M 'R -3 m'
_symmetry_Int_Tables_number 166
_symmetry_space_group_name_Hall '-R 3 2"'
loop_
_atom_site_label
_atom_site_fract_x
_atom_site_fract_y
_atom_site_fract_z
Al1 0.0000 0.0000 0.0000
Al2 0.0000 0.0000 0.2452
P1 0.0000 0.0000 0.5000

two | # Al3P (GGA-PBE, optimized geometry)
# DOS at the Fermi energy in states/eV/atom: 0.303
# Magnetic moment in μB/f.u.: 0.0
data_Al3P
_cell_length_a 8.6116
_cell_length_b 8.6116
_cell_length_c 3.0518
_cell_angle_alpha 90.00
_cell_angle_beta 90.00
_cell_angle_gamma 120.00
_symmetry_space_group_name_H-M 'R -3 m'
_symmetry_Int_Tables_number 166
_symmetry_space_group_name_Hall '-R 3 2"'
loop_
_atom_site_label
_atom_site_fract_x
_atom_site_fract_y
_atom_site_fract_z
Al1 0.0000 0.5000 0.0000
P1 0.0000 0.0000 0.0000

Which structure is the most stable? The one labeled one.

one | # Al3P (GGA-PBE, optimized geometry)
# DOS at the Fermi energy in states/eV/atom: 0.375
# Magnetic moment in μB/f.u.: 0.0
data_Al3P
_cell_length_a 5.799
_cell_length_b 7.927
_cell_length_c 2.791
_cell_angle_alpha 90.00
_cell_angle_beta 90.00
_cell_angle_gamma 90.00
_symmetry_space_group_name_H-M 'C m m m'
_symmetry_Int_Tables_number 65
_symmetry_space_group_name_Hall '-C 2 2'
loop_
_atom_site_label
_atom_site_fract_x
_atom_site_fract_y
_atom_site_fract_z
Al1 0.000 0.000 0.000
Al2 0.250 0.250 0.500
P1 0.000 0.500 0.000

two | # Al3P (GGA-PBE, optimized geometry)
# DOS at the Fermi energy in states/eV/atom: 0.411
# Magnetic moment in μB/f.u.: 0.0
data_Al3P
_cell_length_a 3.947
_cell_length_b 3.947
_cell_length_c 16.588
_cell_angle_alpha 90.00
_cell_angle_beta 90.00
_cell_angle_gamma 90.00
_symmetry_space_group_name_H-M 'I 4/m m m'
_symmetry_Int_Tables_number 139
_symmetry_space_group_name_Hall '-I 4 2'
loop_
_atom_site_label
_atom_site_fract_x
_atom_site_fract_y
_atom_site_fract_z
Al1 0.000 0.000 0.129
Al2 0.000 0.500 0.000
Al3 0.000 0.500 0.250
P1 0.000 0.000 0.389

three | # Al3P (GGA-PBE, optimized geometry)
# DOS at the Fermi energy in states/eV/atom: 0.272
# Magnetic moment in μB/f.u.: 0.0
data_Al3P
_cell_length_a 3.339
_cell_length_b 9.324
_cell_length_c 4.326
_cell_angle_alpha 90.00
_cell_angle_beta 90.00
_cell_angle_gamma 90.00
_symmetry_space_group_name_H-M 'I m m 2'
_symmetry_Int_Tables_number 44
loop_
_symmetry_equiv_pos_as_xyz
'x,y,z'
'-x,-y,z'
'-x,y,z'
'x,-y,z'
'x+1/2,y+1/2,z+1/2'
'-x+1/2,-y+1/2,z+1/2'
'-x+1/2,y+1/2,z+1/2'
'x+1/2,-y+1/2,z+1/2'
loop_
_atom_site_label
_atom_site_fract_x
_atom_site_fract_y
_atom_site_fract_z
Al1 0.000 0.000 0.000
Al2 0.000 0.207 0.546
P1 0.000 0.500 0.913

four | # Al3P (GGA-PBE, optimized geometry)
# DOS at the Fermi energy in states/eV/atom: 0.168
# Magnetic moment in μB/f.u.: 0.0
data_Al3P
_cell_length_a 4.378
_cell_length_b 5.638
_cell_length_c 6.755
_cell_angle_alpha 90.00
_cell_angle_beta 90.00
_cell_angle_gamma 90.00
_symmetry_space_group_name_H-M 'P m m n'
_symmetry_Int_Tables_number 59
loop_
_symmetry_equiv_pos_as_xyz
'x,y,z'
'-x,-y,-z'
'-x+1/2,-y+1/2,z'
'x+1/2,y+1/2,-z'
'x+1/2,-y,-z'
'-x+1/2,y,z'
'-x,y+1/2,-z'
'x,-y+1/2,z'
loop_
_atom_site_label
_atom_site_fract_x
_atom_site_fract_y
_atom_site_fract_z
Al1 0.250 0.012 0.100
Al2 0.250 0.250 0.444
P1 0.250 0.750 0.395

Which structure is the most stable? The one labeled three.

one | # Al3P4 (GGA-PBE, optimized geometry)
# DOS at the Fermi energy in states/eV/atom: 0.321
# Magnetic moment in μB/f.u.: 0.0
data_Al3P4
_cell_length_a 3.233
_cell_length_b 3.233
_cell_length_c 20.732
_cell_angle_alpha 90.00
_cell_angle_beta 90.00
_cell_angle_gamma 90.00
_symmetry_space_group_name_H-M 'I 4/m m m'
_symmetry_Int_Tables_number 139
_symmetry_space_group_name_Hall '-I 4 2'
loop_
_atom_site_label
_atom_site_fract_x
_atom_site_fract_y
_atom_site_fract_z
Al1 0.000 0.000 0.000
Al2 0.000 0.000 0.292
P1 0.000 0.000 0.129
P2 0.000 0.000 0.418

two | # Al3P4 (GGA-PBE, optimized geometry)
# DOS at the Fermi energy in states/eV/atom: 0.616
# Magnetic moment in μB/f.u.: 0.0
data_Al3P4
_cell_length_a 6.1308
_cell_length_b 6.1308
_cell_length_c 3.9309
_cell_angle_alpha 90.00
_cell_angle_beta 90.00
_cell_angle_gamma 120.00
_symmetry_space_group_name_H-M 'P 6/m m m'
_symmetry_Int_Tables_number 191
_symmetry_space_group_name_Hall '-P 6 2'
loop_
_atom_site_label
_atom_site_fract_x
_atom_site_fract_y
_atom_site_fract_z
Al1 0.0000 0.5000 0.0000
P1 0.0000 0.0000 0.2524
P2 0.3333 0.6667 0.5000

Which structure is the most stable? The one labeled one.

one | # Al2P3 (GGA-PBE, optimized geometry)
# DOS at the Fermi energy in states/eV/atom: 0.297
# Magnetic moment in μB/f.u.: 0.0
data_Al2P3
_cell_length_a 3.4584
_cell_length_b 3.4584
_cell_length_c 7.8462
_cell_angle_alpha 90.00
_cell_angle_beta 90.00
_cell_angle_gamma 120.00
_symmetry_space_group_name_H-M 'P -3 m 1'
_symmetry_Int_Tables_number 164
_symmetry_space_group_name_Hall '-P 3 2"'
loop_
_atom_site_label
_atom_site_fract_x
_atom_site_fract_y
_atom_site_fract_z
Al1 0.3333 0.6667 0.3127
P1 0.0000 0.0000 0.5000
P2 0.3333 0.6667 0.8993

two | # Al2P3 (GGA-PBE, optimized geometry)
# DOS at the Fermi energy in states/eV/atom: 0.304
# Magnetic moment in μB/f.u.: 0.0
data_Al2P3
_cell_length_a 3.5871
_cell_length_b 3.5871
_cell_length_c 22.0819
_cell_angle_alpha 90.00
_cell_angle_beta 90.00
_cell_angle_gamma 120.00
_symmetry_space_group_name_H-M 'R -3 m'
_symmetry_Int_Tables_number 166
_symmetry_space_group_name_Hall '-R 3 2"'
loop_
_atom_site_label
_atom_site_fract_x
_atom_site_fract_y
_atom_site_fract_z
Al1 0.0000 0.0000 0.1033
P1 0.0000 0.0000 0.3037
P2 0.0000 0.0000 0.5000

Which structure is the most stable? The one labeled two.

one | # Al3P5 (GGA-PBE, optimized geometry)
# DOS at the Fermi energy in states/eV/atom: 0.385
# Magnetic moment in μB/f.u.: 0.0
data_Al3P5
_cell_length_a 7.6238
_cell_length_b 7.6238
_cell_length_c 5.2181
_cell_angle_alpha 90.00
_cell_angle_beta 90.00
_cell_angle_gamma 120.00
_symmetry_space_group_name_H-M 'P 63/m c m'
_symmetry_Int_Tables_number 193
_symmetry_space_group_name_Hall '-P 6c 2'
loop_
_atom_site_label
_atom_site_fract_x
_atom_site_fract_y
_atom_site_fract_z
Al1 0.0000 0.3489 0.2500
P1 0.0000 0.3198 0.7500
P2 0.3333 0.6667 0.0000

two | # Al3P5 (GGA-PBE, optimized geometry)
# Magnetic moment in μB/f.u.: 0.0
data_Al3P5
_cell_length_a 6.510
_cell_length_b 7.015
_cell_length_c 8.535
_cell_angle_alpha 101.28
_cell_angle_beta 91.26
_cell_angle_gamma 100.03
_symmetry_space_group_name_H-M 'P 1'
_symmetry_Int_Tables_number 1
loop_
_symmetry_equiv_pos_as_xyz
'x,y,z'
loop_
_atom_site_label
_atom_site_fract_x
_atom_site_fract_y
_atom_site_fract_z
Al1 0.000 0.000 0.000
Al2 0.018 0.259 0.461
Al3 0.368 0.809 0.310
Al4 0.597 0.995 0.791
Al5 0.799 0.491 0.737
Al6 0.848 0.774 0.324
P1 0.101 0.594 0.415
P2 0.125 0.017 0.260
P3 0.140 0.655 0.677
P4 0.147 0.247 0.734
P5 0.229 0.973 0.787
P6 0.566 0.621 0.127
P7 0.636 0.957 0.514
P8 0.661 0.270 0.483
P9 0.693 0.750 0.924
P10 0.883 0.268 0.898

Which structure is the most stable? The one labeled two.